1.
Computed, not measured: crystalline Mg2MoSe at its relaxed geometry at the GGA-PBE level of DFT.

As for the total energy: -34.386 eV/cell.

The space group is Cmmm (No. 65) and the conventional cell measures 3.701, 4.645 and 8.629 Å, with angles of 90.00, 90.00 and 90.00 degrees. The inequivalent atoms are Mg at (0.000, 0.000, 0.245), Mo at (0.000, 0.500, 0.000) and Se at (0.000, 0.500, 0.500).

=====

2.
Computed, not measured: crystalline MgMo3Se at its relaxed geometry at the GGA-PBE level of DFT.

As for the total energy: -26.570 eV/cell.

The space group is Pm-3m (No. 221) and the conventional cell measures 4.658, 4.658 and 4.658 Å, with angles of 90.00, 90.00 and 90.00 degrees. The inequivalent atoms are Mg at (0.000, 0.000, 0.000), Mo at (0.000, 0.000, 0.500) and Se at (0.500, 0.500, 0.500).

=====

3.
Computed, not measured: crystalline Mg2MoSe at its relaxed geometry at the GGA-PBE level of DFT.

As for the total energy: -63.793 eV/cell.

The space group is F-43m (No. 216) and the conventional cell measures 6.666, 6.666 and 6.666 Å, with angles of 90.00, 90.00 and 90.00 degrees. The inequivalent atoms are Mg at (0.000, 0.000, 0.000), Mg at (0.250, 0.250, 0.250), Mo at (0.250, 0.250, 0.750) and Se at (0.000, 0.000, 0.500).

=====

4.
Computed, not measured: crystalline Mg2MoSe at its relaxed geometry at the GGA-PBE level of DFT.

As for the total energy: -35.042 eV/cell.

The space group is Imm2 (No. 44) and the conventional cell measures 3.207, 4.843 and 10.001 Å, with angles of 90.00, 90.00 and 90.00 degrees. The inequivalent atoms are Mg at (0.000, 0.000, 0.000), Mg at (0.000, 0.500, 0.205), Mo at (0.000, 0.500, 0.756) and Se at (0.000, 0.000, 0.444).

=====

5.
Computed, not measured: crystalline MgMoSe2 at its relaxed geometry at the GGA-PBE level of DFT.

As for the total energy: -20.724 eV/cell.

The space group is Pmm2 (No. 25) and the conventional cell measures 3.841, 5.471 and 3.842 Å, with angles of 90.00, 90.00 and 90.00 degrees. The inequivalent atoms are Mg at (0.000, 0.000, 0.000), Mo at (0.500, 0.500, 0.502), Se at (0.000, 0.500, 0.002) and Se at (0.500, 0.000, 0.500).

=====

6.
Computed, not measured: crystalline Mg2MoSe at its relaxed geometry at the GGA-PBE level of DFT.

As for the total energy: -33.492 eV/cell.

The space group is Immm (No. 71) and the conventional cell measures 3.373, 4.421 and 9.566 Å, with angles of 90.00, 90.00 and 90.00 degrees. The inequivalent atoms are Mg at (0.000, 0.000, 0.234), Mo at (0.000, 0.500, 0.000) and Se at (0.000, 0.500, 0.500).

=====

Theoretical density (kg/m³)
5004; 6425; 5012; 4779; 5722; 5203
DOS at the Fermi energy (states/eV per cell)
4.0; 6.0; 13.5; 3.8; 1.0; 6.4
Energy relative to the elements, uncorrected (eV per atom)
0.08; 2.20; 0.39; 0.00; -0.33; 0.19